Below is an optimized crystal structure of BeVO2, with properties calculated at the GGA+U level.

extended XYZ file:
```
4
Lattice="1.624 0.000 5.544 -0.812 1.406 5.544 -0.812 -1.406 5.544" Properties=species:S:1:pos:R:3 pbc="T T T"
O 0.000 0.000 1.821
O 0.000 0.000 14.810
V 0.000 0.000 0.000
Be 0.000 0.000 8.316
```

## Properties
E_tot (eV per atom): -6.66
Total moment (μB per cell): 1.1
Space group: R-3m, No. 166
Calculated volume (A^3/atom): 9.49